No. 1
VASP calculation (PBE) on Ba2CaHoTe4 after structural relaxation.

Values from the calculation:
VASP energy: -4.472 eV per atom
Theoretical density: 5.63 g/cm3
Size of the total moment: 0.000 Bohr magnetons per cell
Raw formation energy: -1598 meV per atom

Lattice parameters (Å, degrees): 8.067 4.646 8.241 90.00 108.94 90.00
Space group P2/m (No. 10)
One atom of each set of equivalent atoms:
1 Ba 0.000 0.000 0.000 (multiplicity 1)
2 Ba 0.500 0.500 0.000 (multiplicity 1)
3 Ca 0.000 0.500 0.500 (multiplicity 1)
4 Ho 0.500 0.000 0.500 (multiplicity 1)
5 Te 0.246 0.000 0.718 (multiplicity 2)
6 Te 0.267 0.500 0.285 (multiplicity 2)


No. 2
VASP calculation (PBE) on HfTeAsI2 after structural relaxation.

Values from the calculation:
VASP energy: -3.421 eV per atom
Theoretical density: 6.30 g/cm3
Size of the total moment: 1.645 Bohr magnetons per cell
Relative energy among the computed polymorphs: 0.604 eV per atom
Raw formation energy: 748 meV per atom

Lattice parameters (Å, degrees): 5.441 5.441 5.647 90.00 90.00 90.00
Space group P4/mmm (No. 123)
One atom of each set of equivalent atoms:
1 Hf 0.000 0.000 0.000 (multiplicity 1)
2 Te 0.500 0.500 0.000 (multiplicity 1)
3 As 0.500 0.500 0.500 (multiplicity 1)
4 I 0.000 0.500 0.500 (multiplicity 2)


No. 3
VASP calculation (PBE) on Ga8Ag2Pd3 after structural relaxation.

Values from the calculation:
VASP energy: -3.766 eV per atom
Theoretical density: 7.78 g/cm3
ΔE_f: -0.2661 eV/atom
Size of the total moment: 0.000 Bohr magnetons per cell

Lattice parameters (Å, degrees): 7.537 4.316 7.760 90.00 112.42 90.00
Space group P2/m (No. 10)
One atom of each set of equivalent atoms:
1 Ga 0.094 0.000 0.387 (multiplicity 2)
2 Ga 0.138 0.500 0.898 (multiplicity 2)
3 Ga 0.306 0.000 0.135 (multiplicity 2)
4 Ga 0.390 0.500 0.644 (multiplicity 2)
5 Ag 0.307 0.000 0.799 (multiplicity 2)
6 Pd 0.226 0.500 0.280 (multiplicity 2)
7 Pd 0.500 0.000 0.500 (multiplicity 1)


No. 4
VASP calculation (PBE) on LiMg2Zr after structural relaxation.

Values from the calculation:
VASP energy: -3.027 eV per atom
Theoretical density: 2.82 g/cm3
ΔE_f: 0.3854 eV/atom
Size of the total moment: 0.000 Bohr magnetons per cell

Lattice parameters (Å, degrees): 7.629 7.629 5.938 90.00 90.00 90.00
Space group I-42d (No. 122)
One atom of each set of equivalent atoms:
1 Li 0.000 0.000 0.000 (multiplicity 4)
2 Mg 0.212 0.250 0.125 (multiplicity 8)
3 Zr 0.000 0.000 0.500 (multiplicity 4)


No. 5
VASP calculation (PBE) on Te2SeBr after structural relaxation.

Values from the calculation:
VASP energy: -2.862 eV per atom
Theoretical density: 5.48 g/cm3
Size of the total moment: 0.000 Bohr magnetons per cell
Relative energy among the computed polymorphs: 0.058 eV per atom
Raw formation energy: -2 meV per atom

Lattice parameters (Å, degrees): 7.357 4.156 8.238 90.00 94.58 90.00
Space group Cm (No. 8)
One atom of each set of equivalent atoms:
1 Te 0.000 0.000 0.000 (multiplicity 2)
2 Te 0.184 0.500 0.231 (multiplicity 2)
3 Se 0.365 0.000 0.432 (multiplicity 2)
4 Br 0.191 0.000 0.712 (multiplicity 2)


No. 6
VASP calculation (PBE) on La4Tl2Bi after structural relaxation.

Values from the calculation:
VASP energy: -4.433 eV per atom
Theoretical density: 7.86 g/cm3
ΔE_f: -0.3870 eV/atom
Size of the total moment: 0.000 Bohr magnetons per cell
Relative energy among the computed polymorphs: 0.153 eV per atom

Lattice parameters (Å, degrees): 5.5934 5.5934 27.4441 90.00 90.00 120.00
Space group R-3m (No. 166, hexagonal axes)
One atom of each set of equivalent atoms:
1 La 0.0000 0.0000 0.1231 (multiplicity 6)
2 La 0.0000 0.0000 0.3764 (multiplicity 6)
3 Tl 0.0000 0.0000 0.2580 (multiplicity 6)
4 Bi 0.0000 0.0000 0.5000 (multiplicity 3)


No. 7
VASP calculation (PBE) on TlPN2 after structural relaxation.

Values from the calculation:
VASP energy: -5.524 eV per atom
Theoretical density: 4.41 g/cm3
Size of the total moment: 0.000 Bohr magnetons per cell
Relative energy among the computed polymorphs: 0.627 eV per atom
Raw formation energy: 583 meV per atom

Lattice parameters (Å, degrees): 4.3056 4.3056 18.5266 90.00 90.00 120.00
Space group R-3m (No. 166, hexagonal axes)
One atom of each set of equivalent atoms:
1 Tl 0.0000 0.0000 0.0000 (multiplicity 3)
2 P 0.0000 0.0000 0.5000 (multiplicity 3)
3 N 0.0000 0.0000 0.4176 (multiplicity 6)


No. 8
VASP calculation (PBE) on HgMoSN2 after structural relaxation.

Values from the calculation:
VASP energy: -5.956 eV per atom
Theoretical density: 7.44 g/cm3
Size of the total moment: 0.068 Bohr magnetons per cell
Relative energy among the computed polymorphs: 0.000 eV per atom
Raw formation energy: 426 meV per atom

Lattice parameters (Å, degrees): 3.906 3.906 5.221 90.00 90.00 90.00
Space group P4/mmm (No. 123)
One atom of each set of equivalent atoms:
1 Hg 0.000 0.000 0.000 (multiplicity 1)
2 Mo 0.500 0.500 0.500 (multiplicity 1)
3 S 0.500 0.500 0.000 (multiplicity 1)
4 N 0.000 0.500 0.500 (multiplicity 2)


No. 9
VASP calculation (PBE) on Cu8SiAu2 after structural relaxation.

Values from the calculation:
VASP energy: -4.097 eV per atom
Theoretical density: 10.63 g/cm3
Size of the total moment: 0.000 Bohr magnetons per cell
Raw formation energy: -29 meV per atom

Lattice parameters (Å, degrees): 13.332 3.846 5.921 90.00 106.75 90.00
Space group C2/m (No. 12)
One atom of each set of equivalent atoms:
1 Cu 0.037 0.000 0.228 (multiplicity 4)
2 Cu 0.084 0.500 0.934 (multiplicity 4)
3 Cu 0.133 0.000 0.664 (multiplicity 4)
4 Cu 0.170 0.500 0.402 (multiplicity 4)
5 Si 0.000 0.500 0.500 (multiplicity 2)
6 Au 0.221 0.000 0.146 (multiplicity 4)


No. 10
VASP calculation (PBE) on La3Al4Ag4 after structural relaxation.

Values from the calculation:
VASP energy: -4.092 eV per atom
Theoretical density: 6.07 g/cm3
ΔE_f: -0.3500 eV/atom
Size of the total moment: 0.000 Bohr magnetons per cell

Lattice parameters (Å, degrees): 4.189 4.609 27.111 90.00 90.00 90.00
Space group Immm (No. 71)
One atom of each set of equivalent atoms:
1 La 0.000 0.000 0.000 (multiplicity 2)
2 La 0.000 0.500 0.149 (multiplicity 4)
3 Al 0.000 0.000 0.451 (multiplicity 4)
4 Al 0.000 0.500 0.306 (multiplicity 4)
5 Ag 0.000 0.000 0.253 (multiplicity 4)
6 Ag 0.000 0.500 0.403 (multiplicity 4)


No. 11
VASP calculation (PBE) on GdYHoLu after structural relaxation.

Values from the calculation:
VASP energy: -7.295 eV per atom
Theoretical density: 7.68 g/cm3
ΔE_f: 0.1163 eV/atom
Size of the total moment: 32.889 Bohr magnetons per cell

Lattice parameters (Å, degrees): 7.973 7.973 7.973 90.00 90.00 90.00
Space group F-43m (No. 216)
One atom of each set of equivalent atoms:
1 Gd 0.000 0.000 0.000 (multiplicity 4)
2 Y 0.000 0.000 0.500 (multiplicity 4)
3 Ho 0.250 0.250 0.250 (multiplicity 4)
4 Lu 0.250 0.250 0.750 (multiplicity 4)


No. 12
VASP calculation (PBE) on TcAsAu3 after structural relaxation.

Values from the calculation:
VASP energy: -3.952 eV per atom
Theoretical density: 11.14 g/cm3
ΔE_f: 1.0171 eV/atom
Size of the total moment: 3.422 Bohr magnetons per cell
Relative energy among the computed polymorphs: 0.000 eV per atom

Lattice parameters (Å, degrees): 4.847 4.847 4.847 90.00 90.00 90.00
Space group Pm-3m (No. 221)
One atom of each set of equivalent atoms:
1 Tc 0.000 0.000 0.000 (multiplicity 1)
2 As 0.500 0.500 0.500 (multiplicity 1)
3 Au 0.000 0.500 0.500 (multiplicity 3)


No. 13
VASP calculation (PBE) on SbPb3 after structural relaxation.

Values from the calculation:
VASP energy: -3.767 eV per atom
Theoretical density: 9.93 g/cm3
Size of the total moment: 0.000 Bohr magnetons per cell
Raw formation energy: 44 meV per atom

Lattice parameters (Å, degrees): 4.306 5.392 10.708 90.00 90.00 90.00
Space group Immm (No. 71)
One atom of each set of equivalent atoms:
1 Sb 0.000 0.000 0.000 (multiplicity 2)
2 Pb 0.000 0.000 0.500 (multiplicity 2)
3 Pb 0.000 0.500 0.268 (multiplicity 4)


No. 14
VASP calculation (PBE) on Cs2CeU2Se6 after structural relaxation.

Values from the calculation:
VASP energy: -6.052 eV per atom
Theoretical density: 5.57 g/cm3
Size of the total moment: 12.000 Bohr magnetons per cell
Raw formation energy: -1405 meV per atom

Lattice parameters (Å, degrees): 7.356 12.790 8.929 90.00 105.66 90.00
Space group C2/m (No. 12)
One atom of each set of equivalent atoms:
1 Cs 0.000 0.165 0.000 (multiplicity 4)
2 Ce 0.000 0.000 0.500 (multiplicity 2)
3 U 0.000 0.334 0.500 (multiplicity 4)
4 Se 0.218 0.500 0.684 (multiplicity 4)
5 Se 0.230 0.172 0.683 (multiplicity 8)


No. 15
VASP calculation (PBE) on Pa2SiIr3 after structural relaxation.

Values from the calculation:
VASP energy: -9.460 eV per atom
Theoretical density: 16.76 g/cm3
Size of the total moment: 0.000 Bohr magnetons per cell
Relative energy among the computed polymorphs: 0.000 eV per atom
Raw formation energy: -960 meV per atom

Lattice parameters (Å, degrees): 5.5096 5.5096 8.0389 90.00 90.00 120.00
Space group P6_3/mmc (No. 194)
One atom of each set of equivalent atoms:
1 Pa 0.3333 0.6667 0.0682 (multiplicity 4)
2 Si 0.0000 0.0000 0.0000 (multiplicity 2)
3 Ir 0.1671 0.3341 0.7500 (multiplicity 6)


No. 16
VASP calculation (PBE) on CeInSe2 after structural relaxation.

Values from the calculation:
VASP energy: -5.031 eV per atom
Theoretical density: 6.60 g/cm3
Size of the total moment: 0.913 Bohr magnetons per cell
Relative energy among the computed polymorphs: 0.102 eV per atom
Raw formation energy: -1120 meV per atom

Lattice parameters (Å, degrees): 3.712 3.712 7.535 90.00 90.00 90.00
Space group P4/mmm (No. 123)
One atom of each set of equivalent atoms:
1 Ce 0.000 0.000 0.000 (multiplicity 1)
2 In 0.000 0.000 0.500 (multiplicity 1)
3 Se 0.500 0.500 0.218 (multiplicity 2)


No. 17
VASP calculation (PBE) on Ta5Mo3 after structural relaxation.

Values from the calculation:
VASP energy: -11.563 eV per atom
Theoretical density: 14.33 g/cm3
ΔE_f: -0.0935 eV/atom
Size of the total moment: 0.000 Bohr magnetons per cell
Relative energy among the computed polymorphs: 0.079 eV per atom

Lattice parameters (Å, degrees): 10.660 9.141 2.888 90.00 100.91 90.00
Space group Cm (No. 8)
One atom of each set of equivalent atoms:
1 Ta 0.000 0.000 0.000 (multiplicity 2)
2 Ta 0.009 0.500 0.028 (multiplicity 2)
3 Ta 0.133 0.251 0.742 (multiplicity 4)
4 Ta 0.259 0.000 0.480 (multiplicity 2)
5 Mo 0.257 0.500 0.493 (multiplicity 2)
6 Mo 0.381 0.251 0.252 (multiplicity 4)


No. 18
VASP calculation (PBE) on NdZrAl2 after structural relaxation.

Values from the calculation:
VASP energy: -5.437 eV per atom
Theoretical density: 5.34 g/cm3
ΔE_f: -0.2371 eV/atom
Size of the total moment: 0.004 Bohr magnetons per cell
Relative energy among the computed polymorphs: 0.096 eV per atom

Lattice parameters (Å, degrees): 7.114 7.114 7.114 90.00 90.00 90.00
Space group Fm-3m (No. 225)
One atom of each set of equivalent atoms:
1 Nd 0.000 0.000 0.000 (multiplicity 4)
2 Zr 0.000 0.000 0.500 (multiplicity 4)
3 Al 0.250 0.250 0.250 (multiplicity 8)


No. 19
VASP calculation (PBE) on HfGaTe after structural relaxation.

Values from the calculation:
VASP energy: -5.938 eV per atom
Theoretical density: 9.61 g/cm3
Size of the total moment: 0.000 Bohr magnetons per cell
Relative energy among the computed polymorphs: 0.000 eV per atom
Raw formation energy: -564 meV per atom

Lattice parameters (Å, degrees): 3.862 3.862 8.708 90.00 90.00 90.00
Space group P4/nmm (No. 129, origin choice 2)
One atom of each set of equivalent atoms:
1 Hf 0.250 0.250 0.245 (multiplicity 2)
2 Ga 0.250 0.750 0.500 (multiplicity 2)
3 Te 0.250 0.250 0.877 (multiplicity 2)


No. 20
VASP calculation (PBE) on Fe2OsRh after structural relaxation.

Values from the calculation:
VASP energy: -8.764 eV per atom
Theoretical density: 12.73 g/cm3
ΔE_f: 0.1122 eV/atom
Size of the total moment: 16.121 Bohr magnetons per cell
Relative energy among the computed polymorphs: 0.030 eV per atom

Lattice parameters (Å, degrees): 2.6756 2.6756 25.5566 90.00 90.00 120.00
Space group R-3m (No. 166, hexagonal axes)
One atom of each set of equivalent atoms:
1 Fe 0.0000 0.0000 0.2503 (multiplicity 6)
2 Os 0.0000 0.0000 0.0000 (multiplicity 3)
3 Rh 0.0000 0.0000 0.5000 (multiplicity 3)


No. 21
VASP calculation (PBE) on PrGdEr after structural relaxation.

Values from the calculation:
VASP energy: -7.784 eV per atom
Theoretical density: 7.77 g/cm3
ΔE_f: 0.0241 eV/atom
Size of the total moment: 14.779 Bohr magnetons per cell
Relative energy among the computed polymorphs: 0.002 eV per atom

Lattice parameters (Å, degrees): 3.626 3.626 15.133 90.00 90.00 90.00
Space group I4mm (No. 107)
One atom of each set of equivalent atoms:
1 Pr 0.000 0.000 0.000 (multiplicity 2)
2 Gd 0.000 0.000 0.329 (multiplicity 2)
3 Er 0.000 0.000 0.665 (multiplicity 2)


No. 22
VASP calculation (PBE) on HoVMo2 after structural relaxation.

Values from the calculation:
VASP energy: -8.409 eV per atom
Theoretical density: 9.43 g/cm3
ΔE_f: 0.4308 eV/atom
Size of the total moment: 0.000 Bohr magnetons per cell

Lattice parameters (Å, degrees): 3.0895 3.0895 26.0648 90.00 90.00 120.00
Space group R-3m (No. 166, hexagonal axes)
One atom of each set of equivalent atoms:
1 Ho 0.0000 0.0000 0.0000 (multiplicity 3)
2 V 0.0000 0.0000 0.5000 (multiplicity 3)
3 Mo 0.0000 0.0000 0.2375 (multiplicity 6)


No. 23
VASP calculation (PBE) on Pr7Nd5 after structural relaxation.

Values from the calculation:
VASP energy: -4.769 eV per atom
Theoretical density: 6.58 g/cm3
ΔE_f: 0.0052 eV/atom
Size of the total moment: 0.000 Bohr magnetons per cell
Relative energy among the computed polymorphs: 0.000 eV per atom

Lattice parameters (Å, degrees): 19.342 3.717 13.615 90.00 118.30 90.00
Space group C2/m (No. 12)
One atom of each set of equivalent atoms:
1 Pr 0.000 0.000 0.000 (multiplicity 2)
2 Pr 0.027 0.500 0.250 (multiplicity 4)
3 Pr 0.140 0.000 0.750 (multiplicity 4)
4 Pr 0.167 0.000 0.501 (multiplicity 4)
5 Nd 0.000 0.500 0.500 (multiplicity 2)
6 Nd 0.167 0.500 0.001 (multiplicity 4)
7 Nd 0.194 0.000 0.249 (multiplicity 4)


No. 24
VASP calculation (PBE) on HI3F after structural relaxation.

Values from the calculation:
VASP energy: -2.100 eV per atom
Theoretical density: 3.67 g/cm3
Size of the total moment: 0.000 Bohr magnetons per cell
Relative energy among the computed polymorphs: 0.000 eV per atom

Lattice parameters (Å, degrees): 8.548 8.870 4.779 90.00 90.00 90.00
Space group Pmn2_1 (No. 31)
One atom of each set of equivalent atoms:
1 H 0.000 0.230 0.000 (multiplicity 2)
2 I 0.000 0.848 0.379 (multiplicity 2)
3 I 0.209 0.288 0.105 (multiplicity 4)
4 F 0.000 0.411 0.326 (multiplicity 2)


No. 25
VASP calculation (PBE) on Mn3NbPt12 after structural relaxation.

Values from the calculation:
VASP energy: -7.328 eV per atom
Theoretical density: 17.48 g/cm3
ΔE_f: -0.4486 eV/atom
Size of the total moment: 13.459 Bohr magnetons per cell

Lattice parameters (Å, degrees): 3.955 3.955 15.780 90.00 90.00 90.00
Space group P4/mmm (No. 123)
One atom of each set of equivalent atoms:
1 Mn 0.000 0.000 0.000 (multiplicity 1)
2 Mn 0.000 0.000 0.245 (multiplicity 2)
3 Nb 0.000 0.000 0.500 (multiplicity 1)
4 Pt 0.000 0.500 0.124 (multiplicity 4)
5 Pt 0.000 0.500 0.375 (multiplicity 4)
6 Pt 0.500 0.500 0.000 (multiplicity 1)
7 Pt 0.500 0.500 0.249 (multiplicity 2)
8 Pt 0.500 0.500 0.500 (multiplicity 1)